[1]
This record from Alexandria describes a relaxed structure of PuSbHAu. The functional is PBE-GGA.

a b c (Å): 4.314 4.314 7.882
angles (deg): 90.00 90.00 90.00
Atoms (fractional coordinates):
1 Pu 0.250 0.250 0.135
2 Pu 0.750 0.750 0.865
3 Sb 0.250 0.250 0.732
4 Sb 0.750 0.750 0.268
5 H 0.250 0.750 0.000
6 H 0.750 0.250 0.000
7 Au 0.250 0.750 0.500
8 Au 0.750 0.250 0.500

Space-group type: P4/nmm (129)
M_tot in μB per atom: 1.30
E_tot in eV/atom: -6.692

[2]
This record from Alexandria describes a relaxed structure of CsGa2CuS4. The functional is PBE-GGA.

a b c (Å): 5.657 5.657 12.495
angles (deg): 90.00 90.00 90.00
Atoms (fractional coordinates):
1 Cs 0.000 0.000 0.000
2 Cs 0.500 0.500 0.500
3 Ga 0.000 0.500 0.250
4 Ga 0.000 0.500 0.750
5 Ga 0.500 0.000 0.250
6 Ga 0.500 0.000 0.750
7 Cu 0.000 0.000 0.500
8 Cu 0.500 0.500 0.000
9 S 0.196 0.196 0.348
10 S 0.196 0.804 0.652
11 S 0.304 0.304 0.848
12 S 0.304 0.696 0.152
13 S 0.696 0.304 0.152
14 S 0.696 0.696 0.848
15 S 0.804 0.196 0.652
16 S 0.804 0.804 0.348

Formation energy (no corrections) in meV per atom: -487
Space-group type: I-42m (121)
M_tot in μB per atom: 0.00

- Look up the M_tot of the second one.
  0.00 μB per atom

- The highest M_tot belongs to which entry?
  PuSbHAu